# ZnGa2Pd9

Crystalline ZnGa2Pd9 at its relaxed geometry (PBE, Alexandria).

Structure (CIF):
```
data_ZnGa2Pd9
_chemical_formula_sum 'Zn1 Ga2 Pd9'
_space_group_name_H-M_alt 'P 1'
_space_group_IT_number 1
_space_group_name_Hall 'P 1'
_cell_length_a 3.923
_cell_length_b 3.923
_cell_length_c 11.742
_cell_angle_alpha 90.00
_cell_angle_beta 90.00
_cell_angle_gamma 90.00
loop_
_atom_site_label
_atom_site_type_symbol
_atom_site_fract_x
_atom_site_fract_y
_atom_site_fract_z
Pd1 Pd 0.500 0.500 0.666
Pd2 Pd 0.500 0.000 0.500
Pd3 Pd 0.500 0.000 0.167
Pd4 Pd 0.000 0.500 0.833
Pd5 Pd 0.500 0.500 0.334
Pd6 Pd 0.000 0.500 0.500
Pd7 Pd 0.000 0.500 0.167
Pd8 Pd 0.500 0.500 0.000
Pd9 Pd 0.500 0.000 0.833
Ga1 Ga 0.000 0.000 0.332
Ga2 Ga 0.000 0.000 0.668
Zn1 Zn 0.000 0.000 0.000
```

Output
E_form ... -0.39 eV per atom
Energy ... -4.898 eV/atom
Total moment ... 0.00 Bohr magnetons per cell